No. 1
# HgAuCl2

A PBEsol-optimized structure of HgAuCl2 (meta-GGA SCAN, Alexandria via LeMat-Bulk).

Values from the calculation:
**VASP energy**: -153.43 eV per cell
**E_form (uncorrected)**: -0.04 eV per atom
**Energy relative to the lowest polymorph listed for this composition**: 74.7 meV per atom

a b c (Å): 4.9495 3.3813 5.4556
angles (deg): 90.00 90.06 90.00
Space group P2/m (No. 10)
Unique sites:
Hg (0.0000, 0.0000, 0.0000)
Au (0.5000, 0.5000, 0.5000)
Cl (0.0000, 0.5000, 0.5000)
Cl (0.5000, 0.0000, 0.0000)

---

No. 2
# RbPbI3

A PBEsol-optimized structure of RbPbI3 (meta-GGA SCAN, Alexandria via LeMat-Bulk).

Values from the calculation:
**VASP energy**: -211.71 eV per cell
**E_form (uncorrected)**: -0.99 eV per atom

a b c (Å): 6.2236 6.2236 6.2236
angles (deg): 90.00 90.00 90.00
Space group Pm-3m (No. 221)
Unique sites:
Rb (0.0000, 0.0000, 0.0000)
Pb (0.5000, 0.5000, 0.5000)
I (0.0000, 0.5000, 0.5000)

---

No. 3
# NpCdAu2

A PBEsol-optimized structure of NpCdAu2 (meta-GGA SCAN, Alexandria via LeMat-Bulk).

Values from the calculation:
**VASP energy**: -1104.95 eV per cell

a b c (Å): 6.8924 6.8924 6.8924
angles (deg): 90.00 90.00 90.00
Space group Fm-3m (No. 225)
Unique sites:
Np (0.0000, 0.0000, 0.0000)
Cd (0.0000, 0.0000, 0.5000)
Au (0.2500, 0.2500, 0.2500)

---

No. 4
# KFe2Se

A PBEsol-optimized structure of KFe2Se (meta-GGA SCAN, Alexandria via LeMat-Bulk).

Values from the calculation:
**VASP energy**: -64.13 eV per cell
**E_form (uncorrected)**: 0.13 eV per atom

a b c (Å): 3.1828 3.1828 7.4210
angles (deg): 90.00 90.00 90.00
Space group P4mm (No. 99)
Unique sites:
K (0.0000, 0.0000, 0.0000)
Fe (0.0000, 0.0000, 0.5038)
Fe (0.5000, 0.5000, 0.6424)
Se (0.5000, 0.5000, 0.3211)

---

No. 5
# MgS2NCl

A PBEsol-optimized structure of MgS2NCl (meta-GGA SCAN, Alexandria via LeMat-Bulk).

Values from the calculation:
**VASP energy**: -39.57 eV per cell
**E_form (uncorrected)**: 0.39 eV per atom

a b c (Å): 3.8028 3.8028 5.7872
angles (deg): 90.00 90.00 90.00
Space group P4/mmm (No. 123)
Unique sites:
Mg (0.0000, 0.0000, 0.0000)
S (0.0000, 0.5000, 0.5000)
N (0.5000, 0.5000, 0.5000)
Cl (0.5000, 0.5000, 0.0000)

---

No. 6
# Zr2InP

A PBEsol-optimized structure of Zr2InP (meta-GGA SCAN, Alexandria via LeMat-Bulk).

Values from the calculation:
**VASP energy**: -108.22 eV per cell
**Energy relative to the lowest polymorph listed for this composition**: 206.9 meV per atom

a b c (Å): 3.1050 3.3623 7.4986
angles (deg): 90.00 96.51 90.00
Space group P2/m (No. 10)
Unique sites:
Zr (0.0810, 0.0000, 0.2919)
In (0.5000, 0.5000, 0.0000)
P (0.5000, 0.5000, 0.5000)